Record 1
DFT (PBE-GGA) results for an optimized crystal structure of Co2PbSe.

Summary:
**E_tot**: -4.867 eV/atom
**Magnetic moment**: 2.5 μB/cell
**Volume**: 16.462 Å³/atom

```
Co2PbSe
1.0
4.479 0.000 0.000
0.000 4.479 0.000
0.000 0.000 3.282
Co Pb Se
2 1 1
direct
0.000 0.500 0.000
0.500 0.000 0.000
0.000 0.000 0.500
0.500 0.500 0.500
```

Record 2
DFT (PBE-GGA) results for an optimized crystal structure of Be3AgN.

Summary:
**E_tot**: -2.578 eV/atom
**Magnetic moment**: 0.0 μB/cell
**Volume**: 15.380 Å³/atom

```
Be3AgN
1.0
4.252 0.000 0.000
0.000 4.252 0.000
0.000 0.000 4.252
Be Ag N
3 1 1
direct
0.000 0.000 0.500
0.000 0.500 0.000
0.500 0.000 0.000
0.000 0.000 0.000
0.500 0.500 0.500
```

Record 3
DFT (PBE-GGA) results for an optimized crystal structure of Ag2Sn2Hg.

Summary:
**E_tot**: -2.738 eV/atom
**Magnetic moment**: 0.0 μB/cell
**ΔH_f (0 K)**: 0.3 eV/f.u.
**Volume**: 24.705 Å³/atom

```
Ag2Sn2Hg
1.0
4.745 -2.291 0.000
4.745 2.291 0.000
-1.300 0.000 5.682
Ag Sn Hg
2 2 1
direct
0.206 0.206 0.122
0.794 0.794 0.878
0.159 0.159 0.596
0.841 0.841 0.404
0.500 0.500 0.000
```

Record 4
DFT (PBE-GGA) results for an optimized crystal structure of KCd7.

Summary:
**E_tot**: -0.868 eV/atom
**Magnetic moment**: 0.0 μB/cell
**ΔH_f (0 K)**: 0.6 eV/f.u.
**Volume**: 25.952 Å³/atom

```
KCd7
1.0
0.000 4.700 4.700
4.700 0.000 4.700
4.700 4.700 0.000
K Cd
1 7
direct
0.000 0.000 0.000
0.000 0.000 0.500
0.000 0.500 0.000
0.000 0.500 0.500
0.500 0.000 0.000
0.500 0.000 0.500
0.500 0.500 0.000
0.500 0.500 0.500
```

Record 5
DFT (PBE-GGA) results for an optimized crystal structure of Ni2RhAu.

Summary:
**E_tot**: -5.378 eV/atom
**Magnetic moment**: 1.9 μB/cell
**ΔH_f (0 K)**: 0.7 eV/f.u.
**Volume**: 13.696 Å³/atom

```
Ni2RhAu
1.0
-1.387 2.204 4.479
1.387 -2.204 4.479
1.387 2.204 -4.479
Ni Rh Au
2 1 1
direct
0.000 0.000 0.000
0.776 0.276 0.500
0.241 0.741 0.500
0.518 0.518 0.000
```

Record 6
DFT (PBE-GGA) results for an optimized crystal structure of Ce2MgCd5.

Summary:
**E_tot**: -2.408 eV/atom
**Magnetic moment**: 1.6 μB/cell
**ΔH_f (0 K)**: -1.2 eV/f.u.
**Volume**: 23.607 Å³/atom

```
Ce2MgCd5
1.0
-2.318 2.318 8.788
2.318 -2.318 8.788
2.318 2.318 -8.788
Ce Mg Cd
2 1 5
direct
0.249 0.249 0.000
0.751 0.751 0.000
0.500 0.500 0.000
0.000 0.000 0.000
0.113 0.613 0.500
0.387 0.887 0.500
0.613 0.113 0.500
0.887 0.387 0.500
```